Nd3Bi2O | GGA-PBE | relaxed

As for the uncorrected formation energy: -134 kJ/mol of atoms. The calculation puts the density of states at the Fermi level at 6.0 states/eV/cell. For the total energy, the calculation gives -35.3 eV per formula unit.

Cell lengths 6.5568, 8.2839, 7.5279 Å; angles 96.44, 115.82, 90.00 degrees
Closest atoms and distances in Å follow each position.
Atoms (fractional coordinates):
O (0.9670, 0.7500, 0.0000)  3 Nd 2.25-2.29
O (0.0330, 0.2500, 0.0000)  3 Nd 2.25-2.29
Nd (0.2415, 0.6881, 0.2958)  1 O 2.29
Nd (0.7585, 0.3119, 0.7042)  1 O 2.29
Nd (0.6236, 0.7500, 0.0000)  1 O 2.25
Nd (0.0543, 0.1881, 0.2958)  1 O 2.29
Nd (0.9457, 0.8119, 0.7042)  1 O 2.29
Nd (0.3764, 0.2500, 0.0000)  1 O 2.25
Bi (0.2753, 0.4836, 0.6654)  6 Nd 3.19-3.54, 1 Bi 3.41
Bi (0.6099, 0.0164, 0.3346)  6 Nd 3.19-3.54, 1 Bi 3.41
Bi (0.3901, 0.9836, 0.6654)  6 Nd 3.19-3.54, 1 Bi 3.41
Bi (0.7247, 0.5164, 0.3346)  6 Nd 3.19-3.54, 1 Bi 3.41